A plane-wave DFT calculation with PBE+U was carried out for a relaxed structure of MnNiF3.

Cell lengths 4.166, 4.166, 4.166 Å; angles 90.00, 90.00, 90.00 degrees
Each line ends with the local moment (μB).
Atoms (fractional coordinates):
Ni: 0.500 0.500 0.500  -1.42
Mn: 0.000 0.000 0.000  4.70
F: 0.000 0.500 0.000  0.04
F: 0.000 0.000 0.500  0.02
F: 0.500 0.000 0.000  0.06

Output
Total magnetization = 3.51 μB/cell
Relative energy among the computed polymorphs = 0.57 eV/f.u.
Density = 3918 kg/m3
Fermi-level density of states = 1.990 states/eV per atom
Raw total energy = -23.28 eV for the cell shown